1.
{"formula": "LiAcLaGa", "functional": "PBE", "state": "optimized geometry", "formation_enthalpy_0k_kj_per_mol_fu": -97.8, "rho_kg_m3": 6317, "space_group": "F-43m", "cell": [[0.000, 3.875, 3.875], [3.875, 0.000, 3.875], [3.875, 3.875, 0.000]], "species": ["Li", "Ac", "La", "Ga"], "fractional_positions": [[0.000, 0.000, 0.000], [0.750, 0.750, 0.750], [0.250, 0.250, 0.250], [0.500, 0.500, 0.500]]}

***

2.
{"formula": "Li2AcLa2Ga2", "functional": "PBE", "state": "optimized geometry", "formation_enthalpy_0k_kj_per_mol_fu": -205.7, "rho_kg_m3": 5909, "space_group": "R-3m", "cell": [[2.394, 1.382, 9.314], [-2.394, 1.382, 9.314], [0.000, -2.765, 9.314]], "species": ["Li", "Li", "Ac", "La", "La", "Ga", "Ga"], "fractional_positions": [[0.091, 0.091, 0.091], [0.909, 0.909, 0.909], [0.500, 0.500, 0.500], [0.366, 0.366, 0.366], [0.634, 0.634, 0.634], [0.243, 0.243, 0.243], [0.757, 0.757, 0.757]]}